Computed, not measured: CuAu2 at its PBEsol-relaxed geometry at the SCAN level of DFT.

abc: 2.818 3.461 9.345
angles: 90.00 90.00 90.00
Space group Immm (No. 71)
Unique sites:
Cu  0.000  0.000  0.000
Au  0.000  0.000  0.345

Summary:
ΔE to the lowest computed polymorph, eV per formula unit: 0.027
Density, g/cm3: 16.67

Computed, not measured: Cu4Au5 at its PBEsol-relaxed geometry at the SCAN level of DFT.

abc: 7.5927 7.5927 5.3114
angles: 90.00 90.00 120.00
Space group P6_3/mcm (No. 193)
Unique sites:
Cu  0.0000  0.0000  0.0000
Cu  0.0000  0.3537  0.2500
Au  0.0000  0.3058  0.7500
Au  0.3333  0.6667  0.0000

Summary:
ΔE to the lowest computed polymorph, eV per formula unit: 0.056
Density, g/cm3: 15.52

Computed, not measured: CuAu3 at its PBEsol-relaxed geometry at the SCAN level of DFT.

abc: 2.8324 2.8324 9.0976
angles: 90.00 90.00 120.00
Space group P-6m2 (No. 187)
Unique sites:
Cu  0.0000  0.0000  0.0000
Au  0.0000  0.0000  0.5000
Au  0.3333  0.6667  0.2297

Summary:
E, eV per cell: -222.68
Density, g/cm3: 17.19

Computed, not measured: CuAu3 at its PBEsol-relaxed geometry at the SCAN level of DFT.

abc: 3.953 3.953 16.081
angles: 90.00 90.00 90.00
Space group I4/mmm (No. 139)
Unique sites:
Cu  0.000  0.000  0.126
Au  0.000  0.000  0.375
Au  0.000  0.500  0.000
Au  0.000  0.500  0.250

Summary:
E, eV per cell: -891.32
Density, g/cm3: 17.30

Computed, not measured: CuAu4 at its PBEsol-relaxed geometry at the SCAN level of DFT.

abc: 9.792 2.845 7.079
angles: 90.00 126.11 90.00
Space group C2/m (No. 12)
Unique sites:
Cu  0.000  0.000  0.000
Au  0.089  0.500  0.377
Au  0.217  0.000  0.805

Summary:
ΔE to the lowest computed polymorph, eV per formula unit: 0.074
Density, g/cm3: 17.75

Computed, not measured: CuAu4 at its PBEsol-relaxed geometry at the SCAN level of DFT.

abc: 2.849 3.417 16.401
angles: 90.00 90.00 90.00
Space group Immm (No. 71)
Unique sites:
Cu  0.000  0.000  0.000
Au  0.000  0.000  0.196
Au  0.000  0.000  0.411

Summary:
ΔE to the lowest computed polymorph, eV per formula unit: 0.047
Density, g/cm3: 17.71

Computed, not measured: Cu4Au at its PBEsol-relaxed geometry at the SCAN level of DFT.

abc: 2.716 2.716 16.939
angles: 90.00 90.00 90.00
Space group I4/mmm (No. 139)
Unique sites:
Cu  0.000  0.000  0.112
Cu  0.000  0.000  0.296
Au  0.000  0.000  0.500

Summary:
ΔE to the lowest computed polymorph, eV per formula unit: 0.218
Density, g/cm3: 11.99

Computed, not measured: Cu7Au at its PBEsol-relaxed geometry at the SCAN level of DFT.

abc: 7.287 7.287 7.287
angles: 90.00 90.00 90.00
Space group Fm-3m (No. 225)
Unique sites:
Cu  0.000  0.000  0.000
Cu  0.000  0.250  0.250
Au  0.000  0.000  0.500

Summary:
E, eV per cell: -702.65
Density, g/cm3: 11.02

Computed, not measured: CuAu5 at its PBEsol-relaxed geometry at the SCAN level of DFT.

abc: 4.8821 4.8821 4.7080
angles: 90.00 90.00 120.00
Space group P-62m (No. 189)
Unique sites:
Cu  0.0000  0.0000  0.0000
Au  0.0000  0.6727  0.5000
Au  0.3333  0.6667  0.0000

Summary:
ΔE to the lowest computed polymorph, eV per formula unit: 0.172
Density, g/cm3: 17.91

Computed, not measured: CuAu2 at its PBEsol-relaxed geometry at the SCAN level of DFT.

abc: 2.817 2.889 11.146
angles: 90.00 90.00 90.00
Space group Immm (No. 71)
Unique sites:
Cu  0.000  0.000  0.000
Au  0.000  0.000  0.345

Summary:
ΔE to the lowest computed polymorph, eV per formula unit: 0.000
Density, g/cm3: 16.75

Computed, not measured: Cu4Au5 at its PBEsol-relaxed geometry at the SCAN level of DFT.

abc: 8.179 8.179 3.938
angles: 90.00 90.00 90.00
Space group I4/mmm (No. 139)
Unique sites:
Cu  0.000  0.347  0.000
Au  0.000  0.000  0.000
Au  0.171  0.171  0.500

Summary:
ΔE to the lowest computed polymorph, eV per formula unit: 0.000
Density, g/cm3: 15.62

Computed, not measured: CuAu2 at its PBEsol-relaxed geometry at the SCAN level of DFT.

abc: 9.419 2.823 7.457
angles: 90.00 113.84 90.00
Space group C2/m (No. 12)
Unique sites:
Cu  0.185  0.000  0.088
Au  0.001  0.500  0.214
Au  0.164  0.000  0.590

Summary:
ΔE to the lowest computed polymorph, eV per formula unit: 0.063
Density, g/cm3: 16.75

Computed, not measured: Cu5Au3 at its PBEsol-relaxed geometry at the SCAN level of DFT.

abc: 7.442 7.705 3.770
angles: 90.00 90.00 90.00
Space group Cmmm (No. 65)
Unique sites:
Cu  0.000  0.000  0.000
Cu  0.250  0.000  0.500
Cu  0.250  0.250  0.000
Au  0.000  0.236  0.500
Au  0.000  0.500  0.000

Summary:
E, eV per cell: -568.11
Density, g/cm3: 13.96

Computed, not measured: CuAu3 at its PBEsol-relaxed geometry at the SCAN level of DFT.

abc: 2.827 4.616 4.839
angles: 90.00 90.00 90.00
Space group Pmm2 (No. 25)
Unique sites:
Cu  0.000  0.000  0.000
Au  0.000  0.500  0.672
Au  0.500  0.000  0.498
Au  0.500  0.500  0.161

Summary:
E, eV per cell: -222.65
Density, g/cm3: 17.21

Computed, not measured: CuAu5 at its PBEsol-relaxed geometry at the SCAN level of DFT.

abc: 4.693 2.849 14.530
angles: 90.00 90.00 90.00
Space group Amm2 (No. 38)
Unique sites:
Cu  0.000  0.000  0.000
Au  0.000  0.000  0.340
Au  0.000  0.000  0.660
Au  0.500  0.000  0.111
Au  0.500  0.000  0.448
Au  0.500  0.000  0.779

Summary:
ΔE to the lowest computed polymorph, eV per formula unit: 0.198
Density, g/cm3: 17.92

Computed, not measured: Cu4Au at its PBEsol-relaxed geometry at the SCAN level of DFT.

abc: 5.842 5.842 3.660
angles: 90.00 90.00 90.00
Space group I4/m (No. 87)
Unique sites:
Cu  0.095  0.306  0.000
Au  0.000  0.000  0.500

Summary:
ΔE to the lowest computed polymorph, eV per formula unit: 0.000
Density, g/cm3: 11.99

Computed, not measured: CuAu5 at its PBEsol-relaxed geometry at the SCAN level of DFT.

abc: 2.853 2.853 11.840
angles: 90.00 90.00 90.00
Space group P4/mmm (No. 123)
Unique sites:
Cu  0.000  0.000  0.000
Au  0.000  0.000  0.324
Au  0.500  0.500  0.147
Au  0.500  0.500  0.500

Summary:
ΔE to the lowest computed polymorph, eV per formula unit: 0.000
Density, g/cm3: 18.07

Computed, not measured: CuAu2 at its PBEsol-relaxed geometry at the SCAN level of DFT.

abc: 2.817 14.036 4.633
angles: 90.00 90.00 90.00
Space group Cmcm (No. 63)
Unique sites:
Cu  0.000  0.106  0.250
Au  0.000  0.231  0.750
Au  0.000  0.444  0.250

Summary:
ΔE to the lowest computed polymorph, eV per formula unit: 0.114
Density, g/cm3: 16.58

Computed, not measured: Cu4Au at its PBEsol-relaxed geometry at the SCAN level of DFT.

abc: 2.658 3.532 13.322
angles: 90.00 90.00 90.00
Space group Immm (No. 71)
Unique sites:
Cu  0.000  0.000  0.111
Cu  0.000  0.000  0.297
Au  0.000  0.000  0.500

Summary:
ΔE to the lowest computed polymorph, eV per formula unit: 0.109
Density, g/cm3: 11.98

Computed, not measured: Er2CuAu at its PBEsol-relaxed geometry at the SCAN level of DFT.

abc: 6.898 6.898 6.898
angles: 90.00 90.00 90.00
Space group Fm-3m (No. 225)
Unique sites:
Er  0.250  0.250  0.250
Cu  0.000  0.000  0.000
Au  0.000  0.000  0.500

Summary:
E, eV per cell: -751.93
Density, g/cm3: 12.04

Computed, not measured: ErCu4Au at its PBEsol-relaxed geometry at the SCAN level of DFT.

abc: 6.972 6.972 6.972
angles: 90.00 90.00 90.00
Space group F-43m (No. 216)
Unique sites:
Er  0.000  0.000  0.000
Cu  0.124  0.124  0.624
Au  0.250  0.250  0.250

Summary:
E, eV per cell: -731.01
Density, g/cm3: 12.12

Computed, not measured: CuAuF2 at its PBEsol-relaxed geometry at the SCAN level of DFT.

abc: 5.758 5.758 5.758
angles: 90.00 90.00 90.00
Space group Fm-3m (No. 225)
Unique sites:
Cu  0.000  0.000  0.000
Au  0.000  0.000  0.500
F  0.250  0.250  0.250

Summary:
ΔE to the lowest computed polymorph, eV per formula unit: 2.022
Density, g/cm3: 10.39
ΔE_f (raw), meV per atom: -492

Computed, not measured: CuAuF5 at its PBEsol-relaxed geometry at the SCAN level of DFT.

abc: 3.740 5.014 5.421
angles: 90.92 98.40 108.87
Space group P-1 (No. 2)
Unique sites:
Cu  0.000  0.000  0.000
Au  0.000  0.500  0.500
F  0.131  0.354  0.820
F  0.185  0.231  0.335
F  0.500  0.000  0.000

Summary:
Density, g/cm3: 6.22
ΔE_f (raw), meV per atom: -1425

Computed, not measured: CuAuF2 at its PBEsol-relaxed geometry at the SCAN level of DFT.

abc: 2.8417 2.8417 24.1695
angles: 90.00 90.00 120.00
Space group R-3m (No. 166, hexagonal axes)
Unique sites:
Cu  0.0000  0.0000  0.0000
Au  0.0000  0.0000  0.5000
F  0.0000  0.0000  0.3818

Summary:
ΔE to the lowest computed polymorph, eV per formula unit: 0.000
Density, g/cm3: 8.80
ΔE_f (raw), meV per atom: -997

Computed, not measured: Rb2CuAuF6 at its PBEsol-relaxed geometry at the SCAN level of DFT.

abc: 8.443 8.443 8.443
angles: 90.00 90.00 90.00
Space group Fm-3m (No. 225)
Unique sites:
Rb  0.250  0.250  0.250
Cu  0.000  0.000  0.000
Au  0.000  0.000  0.500
F  0.000  0.000  0.235

Summary:
Density, g/cm3: 6.02
ΔE_f (raw), meV per atom: -2019

Computed, not measured: Fe2CuAu at its PBEsol-relaxed geometry at the SCAN level of DFT.

abc: 2.792 3.233 5.674
angles: 90.00 90.00 90.00
Space group Pmm2 (No. 25)
Unique sites:
Fe  0.000  0.000  0.000
Fe  0.500  0.500  0.216
Cu  0.500  0.500  0.768
Au  0.000  0.000  0.498

Summary:
E, eV per cell: -120.63
Density, g/cm3: 12.07

Computed, not measured: Fe2CuAu at its PBEsol-relaxed geometry at the SCAN level of DFT.

abc: 2.6488 2.6488 25.7956
angles: 90.00 90.00 120.00
Space group R-3m (No. 166, hexagonal axes)
Unique sites:
Fe  0.0000  0.0000  0.2452
Cu  0.0000  0.0000  0.5000
Au  0.0000  0.0000  0.0000

Summary:
E, eV per cell: -359.55
Density, g/cm3: 11.83